# 1
Below is crystalline Ca2PuCrN4 at its relaxed geometry, with properties calculated at the GGA-PBE level.

The structure belongs to space group Cmcm (No. 63); the cell edges are 3.345, 11.379 and 11.864 Å and the angles 90.00°, 90.00° and 90.00°. The asymmetric unit holds Ca at (0.000, 0.130, 0.040), Pu at (0.000, 0.408, 0.250), Cr at (0.000, 0.325, 0.750), N at (0.000, 0.086, 0.250), N at (0.000, 0.224, 0.641) and N at (0.000, 0.500, 0.000).

The density of states at the Fermi level is 30.44 states/eV per cell. The energy relative to the elements, uncorrected comes out at -6.2 eV/f.u. Its total energy is -0.6200 Ry/atom. Its crystal system is orthorhombic. For the total moment, the calculation gives 24.00 μB/cell.


# 2
Below is crystalline Ca2PuCrN5 at its relaxed geometry, with properties calculated at the GGA-PBE level.

The structure belongs to space group Cmc2_1 (No. 36); the cell edges are 3.352, 13.889 and 10.400 Å and the angles 90.00°, 90.00° and 90.00°. The asymmetric unit holds Ca at (0.000, 0.109, 0.000), Ca at (0.000, 0.136, 0.599), Pu at (0.000, 0.208, 0.313), Cr at (0.000, 0.498, 0.268), N at (0.000, 0.040, 0.329), N at (0.000, 0.287, 0.942), N at (0.000, 0.298, 0.689), N at (0.000, 0.376, 0.311) and N at (0.000, 0.497, 0.107).

The density of states at the Fermi level is 25.79 states/eV per cell. The energy relative to the elements, uncorrected comes out at -7.7 eV/f.u. Its total energy is -0.6314 Ry/atom. Its crystal system is orthorhombic. For the total moment, the calculation gives 12.07 μB/cell.


# 3
Below is crystalline Ca4Pu3CrN8 at its relaxed geometry, with properties calculated at the GGA-PBE level.

The structure belongs to space group R-3m (No. 166, hexagonal axes); the cell edges are 6.7981, 6.7981 and 16.8833 Å and the angles 90.00°, 90.00° and 120.00°. The asymmetric unit holds Ca at (0.0000, 0.0000, 0.0000), Ca at (0.0000, 0.5000, 0.0000), Pu at (0.0000, 0.5000, 0.5000), Cr at (0.0000, 0.0000, 0.5000), N at (0.0000, 0.0000, 0.2399) and N at (0.0034, 0.5017, 0.2374).

The density of states at the Fermi level is 57.14 states/eV per cell. The energy relative to the elements, uncorrected comes out at -16.7 eV/f.u. Its total energy is -0.6613 Ry/atom. Its crystal system is trigonal. For the total moment, the calculation gives 42.01 μB/cell.


# 4
Below is crystalline CaPu2CrN4 at its relaxed geometry, with properties calculated at the GGA-PBE level.

The structure belongs to space group Cmcm (No. 63); the cell edges are 3.435, 11.640 and 11.776 Å and the angles 90.00°, 90.00° and 90.00°. The asymmetric unit holds Ca at (0.000, 0.093, 0.250), Pu at (0.000, 0.370, 0.045), Cr at (0.000, 0.173, 0.750), N at (0.000, 0.000, 0.000), N at (0.000, 0.260, 0.620) and N at (0.000, 0.413, 0.250).

The density of states at the Fermi level is 47.94 states/eV per cell. The energy relative to the elements, uncorrected comes out at -7.9 eV/f.u. Its total energy is -0.7488 Ry/atom. Its crystal system is orthorhombic. For the total moment, the calculation gives 46.89 μB/cell.


# 5
Below is crystalline Ca2CrReN5 at its relaxed geometry, with properties calculated at the GGA-PBE level.

The structure belongs to space group Cmc2_1 (No. 36); the cell edges are 3.170, 14.099 and 10.168 Å and the angles 90.00°, 90.00° and 90.00°. The asymmetric unit holds Ca at (0.000, 0.115, 0.000), Ca at (0.000, 0.135, 0.631), Cr at (0.000, 0.444, 0.757), Re at (0.000, 0.215, 0.347), N at (0.000, 0.044, 0.343), N at (0.000, 0.296, 0.974), N at (0.000, 0.319, 0.710), N at (0.000, 0.341, 0.325) and N at (0.000, 0.499, 0.612).

The density of states at the Fermi level is 2.75 states/eV per cell. The energy relative to the elements, uncorrected comes out at -5.1 eV/f.u. Its total energy is -0.5947 Ry/atom. Its crystal system is orthorhombic. For the total moment, the calculation gives 0.01 μB/cell.


# 6
Below is crystalline CaCrS2N at its relaxed geometry, with properties calculated at the GGA-PBE level.

The structure belongs to space group P4/mmm (No. 123); the cell edges are 4.812, 4.812 and 3.594 Å and the angles 90.00°, 90.00° and 90.00°. The asymmetric unit holds Ca at (0.000, 0.000, 0.000), Cr at (0.500, 0.500, 0.500), S at (0.000, 0.500, 0.500) and N at (0.500, 0.500, 0.000).

The density of states at the Fermi level is 1.24 states/eV per cell. The energy relative to the elements, uncorrected comes out at -3.7 eV/f.u. Its total energy is -0.4685 Ry/atom. Its crystal system is tetragonal. For the total moment, the calculation gives 1.07 μB/cell.


# 7
Below is crystalline Ca2CrSbN at its relaxed geometry, with properties calculated at the GGA-PBE level.

The structure belongs to space group P4/mmm (No. 123); the cell edges are 5.070, 5.070 and 3.987 Å and the angles 90.00°, 90.00° and 90.00°. The asymmetric unit holds Ca at (0.000, 0.500, 0.000), Cr at (0.000, 0.000, 0.500), Sb at (0.500, 0.500, 0.500) and N at (0.000, 0.000, 0.000).

The density of states at the Fermi level is 1.93 states/eV per cell. The energy relative to the elements, uncorrected comes out at -3.4 eV/f.u. Its total energy is -0.4329 Ry/atom. Its crystal system is tetragonal. For the total moment, the calculation gives 3.80 μB/cell.


# 8
Below is crystalline CaCrSe2N at its relaxed geometry, with properties calculated at the GGA-PBE level.

The structure belongs to space group P4/mmm (No. 123); the cell edges are 5.118, 5.118 and 3.602 Å and the angles 90.00°, 90.00° and 90.00°. The asymmetric unit holds Ca at (0.000, 0.000, 0.000), Cr at (0.500, 0.500, 0.500), Se at (0.000, 0.500, 0.500) and N at (0.500, 0.500, 0.000).

The density of states at the Fermi level is 1.68 states/eV per cell. The energy relative to the elements, uncorrected comes out at -3.2 eV/f.u. Its total energy is -0.4432 Ry/atom. Its crystal system is tetragonal. For the total moment, the calculation gives 1.21 μB/cell.


# 9
Below is crystalline CaCrSe2N at its relaxed geometry, with properties calculated at the GGA-PBE level.

The structure belongs to space group P4/mmm (No. 123); the cell edges are 5.359, 5.359 and 4.148 Å and the angles 90.00°, 90.00° and 90.00°. The asymmetric unit holds Ca at (0.000, 0.000, 0.000), Cr at (0.500, 0.500, 0.500), Se at (0.000, 0.500, 0.000) and N at (0.000, 0.000, 0.500).

The density of states at the Fermi level is 7.36 states/eV per cell. The energy relative to the elements, uncorrected comes out at 6.7 eV/f.u. Its total energy is -0.2970 Ry/atom. Its crystal system is tetragonal. For the total moment, the calculation gives 0.62 μB/cell.


# 10
Below is crystalline Ca2SmCrN4 at its relaxed geometry, with properties calculated at the GGA-PBE level.

The structure belongs to space group Pmn2_1 (No. 31); the cell edges are 7.317, 6.735 and 5.219 Å and the angles 90.00°, 90.00° and 90.00°. The asymmetric unit holds Ca at (0.244, 0.162, 0.000), Sm at (0.000, 0.369, 0.503), Cr at (0.000, 0.678, 0.044), N at (0.000, 0.409, 0.977), N at (0.000, 0.685, 0.384) and N at (0.214, 0.804, 0.966).

The density of states at the Fermi level is 8.57 states/eV per cell. The energy relative to the elements, uncorrected comes out at -7.7 eV/f.u. Its total energy is -0.5449 Ry/atom. Its crystal system is orthorhombic. For the total moment, the calculation gives 2.00 μB/cell.


# 11
Below is crystalline CaCrSn2N at its relaxed geometry, with properties calculated at the GGA-PBE level.

The structure belongs to space group P4/mmm (No. 123); the cell edges are 5.805, 5.805 and 3.926 Å and the angles 90.00°, 90.00° and 90.00°. The asymmetric unit holds Ca at (0.000, 0.000, 0.000), Cr at (0.500, 0.500, 0.500), Sn at (0.000, 0.500, 0.000) and N at (0.000, 0.000, 0.500).

The density of states at the Fermi level is 4.67 states/eV per cell. The energy relative to the elements, uncorrected comes out at 8.5 eV/f.u. Its total energy is -0.2860 Ry/atom. Its crystal system is tetragonal. For the total moment, the calculation gives 0.45 μB/cell.


# 12
Below is crystalline Ca4CrSn3N8 at its relaxed geometry, with properties calculated at the GGA-PBE level.

The structure belongs to space group R-3m (No. 166, hexagonal axes); the cell edges are 6.5937, 6.5937 and 16.4539 Å and the angles 90.00°, 90.00° and 120.00°. The asymmetric unit holds Ca at (0.0000, 0.0000, 0.0000), Ca at (0.0000, 0.5000, 0.0000), Cr at (0.0000, 0.0000, 0.5000), Sn at (0.0000, 0.5000, 0.5000), N at (0.0000, 0.0000, 0.2389) and N at (0.0136, 0.5068, 0.2380).

The density of states at the Fermi level is 21.20 states/eV per cell. The energy relative to the elements, uncorrected comes out at -6.8 eV/f.u. Its total energy is -0.4735 Ry/atom. Its crystal system is trigonal. For the total moment, the calculation gives 5.97 μB/cell.


# 13
Below is crystalline Sr2CaCrN4 at its relaxed geometry, with properties calculated at the GGA-PBE level.

The structure belongs to space group Pmn2_1 (No. 31); the cell edges are 7.570, 6.791 and 5.515 Å and the angles 90.00°, 90.00° and 90.00°. The asymmetric unit holds Sr at (0.244, 0.178, 0.000), Ca at (0.000, 0.364, 0.507), Cr at (0.000, 0.674, 0.040), N at (0.000, 0.426, 0.939), N at (0.000, 0.665, 0.353) and N at (0.201, 0.801, 0.966).

The energy relative to the elements, uncorrected comes out at -6.5 eV/f.u. Its total energy is -0.5031 Ry/atom. Its crystal system is orthorhombic. For the total moment, the calculation gives 0.00 μB/cell.


# 14
Below is crystalline Ca2TaCrN5 at its relaxed geometry, with properties calculated at the GGA-PBE level.

The structure belongs to space group Cmc2_1 (No. 36); the cell edges are 3.218, 14.027 and 10.511 Å and the angles 90.00°, 90.00° and 90.00°. The asymmetric unit holds Ca at (0.000, 0.110, 0.000), Ca at (0.000, 0.139, 0.673), Ta at (0.000, 0.207, 0.379), Cr at (0.000, 0.445, 0.759), N at (0.000, 0.036, 0.339), N at (0.000, 0.298, 0.996), N at (0.000, 0.324, 0.725), N at (0.000, 0.339, 0.343) and N at (0.000, 0.500, 0.120).

The energy relative to the elements, uncorrected comes out at -8.0 eV/f.u. Its total energy is -0.6135 Ry/atom. Its crystal system is orthorhombic. For the total moment, the calculation gives 0.00 μB/cell.


# 15
Below is crystalline CaTb2CrN4 at its relaxed geometry, with properties calculated at the GGA-PBE level.

The structure belongs to space group Cmcm (No. 63); the cell edges are 3.416, 11.701 and 11.760 Å and the angles 90.00°, 90.00° and 90.00°. The asymmetric unit holds Ca at (0.000, 0.097, 0.250), Tb at (0.000, 0.370, 0.041), Cr at (0.000, 0.172, 0.750), N at (0.000, 0.000, 0.000), N at (0.000, 0.262, 0.626) and N at (0.000, 0.410, 0.250).

The density of states at the Fermi level is 8.77 states/eV per cell. The energy relative to the elements, uncorrected comes out at -9.2 eV/f.u. Its total energy is -0.5822 Ry/atom. Its crystal system is orthorhombic. For the total moment, the calculation gives 7.44 μB/cell.


# 16
Below is crystalline Ca2CrTcN4 at its relaxed geometry, with properties calculated at the GGA-PBE level.

The structure belongs to space group Pmmn (No. 59, origin choice 2); the cell edges are 5.541, 6.802 and 5.810 Å and the angles 90.00°, 90.00° and 90.00°. The asymmetric unit holds Ca at (0.250, 0.000, 0.238), Cr at (0.250, 0.250, 0.793), Tc at (0.250, 0.750, 0.783), N at (0.005, 0.250, 0.996) and N at (0.250, 0.010, 0.647).

The density of states at the Fermi level is 4.81 states/eV per cell. The energy relative to the elements, uncorrected comes out at -5.3 eV/f.u. Its total energy is -0.5753 Ry/atom. Its crystal system is orthorhombic. For the total moment, the calculation gives 0.00 μB/cell.


# 17
Below is crystalline Ca2ThCrN4 at its relaxed geometry, with properties calculated at the GGA-PBE level.

The structure belongs to space group Cmcm (No. 63); the cell edges are 3.413, 11.494 and 11.782 Å and the angles 90.00°, 90.00° and 90.00°. The asymmetric unit holds Ca at (0.000, 0.130, 0.041), Th at (0.000, 0.415, 0.250), Cr at (0.000, 0.324, 0.750), N at (0.000, 0.083, 0.250), N at (0.000, 0.223, 0.639) and N at (0.000, 0.500, 0.000).

The density of states at the Fermi level is 11.62 states/eV per cell. The energy relative to the elements, uncorrected comes out at -7.4 eV/f.u. Its total energy is -0.5672 Ry/atom. Its crystal system is orthorhombic. For the total moment, the calculation gives 4.47 μB/cell.


# 18
Below is crystalline Ca3Th3CrN8 at its relaxed geometry, with properties calculated at the GGA-PBE level.

The structure belongs to space group R-3m (No. 166, hexagonal axes); the cell edges are 6.9797, 6.9797 and 17.0893 Å and the angles 90.00°, 90.00° and 120.00°. The asymmetric unit holds Ca at (0.0000, 0.5000, 0.0000), Th at (0.0000, 0.5000, 0.5000), Cr at (0.0000, 0.0000, 0.5000), N at (0.0000, 0.0000, 0.2455) and N at (0.0461, 0.5231, 0.2319).

The density of states at the Fermi level is 4.08 states/eV per cell. The energy relative to the elements, uncorrected comes out at -15.1 eV/f.u. Its total energy is -0.5858 Ry/atom. Its crystal system is trigonal. For the total moment, the calculation gives 0.00 μB/cell.


# 19
Below is crystalline CaUCrN3 at its relaxed geometry, with properties calculated at the GGA-PBE level.

The structure belongs to space group P2_1/m (No. 11); the cell edges are 6.958, 3.445 and 8.028 Å and the angles 90.00°, 99.60° and 90.00°. The asymmetric unit holds Ca at (0.161, 0.250, 0.161), U at (0.346, 0.750, 0.837), Cr at (0.061, 0.250, 0.605), N at (0.124, 0.250, 0.853), N at (0.165, 0.750, 0.567) and N at (0.426, 0.750, 0.121).

The density of states at the Fermi level is 9.15 states/eV per cell. The energy relative to the elements, uncorrected comes out at -5.7 eV/f.u. Its total energy is -0.6561 Ry/atom. Its crystal system is monoclinic. For the total moment, the calculation gives 4.79 μB/cell.